# 1
Material: Li2Ga6Ir3
Method: DFT, PBE-GGA
State: relaxed

Unit cell a=12.5668 b=12.5668 c=12.5668 alpha=161.41 beta=161.41 gamma=26.40
Last column: nearest neighbours and their distance in Å.
Sites, in units of the cell vectors:
Li 0.1617 0.1617 0.0000  5 Ga 2.84-3.13, 4 Ir 3.03
Li 0.8383 0.8383 0.0000  5 Ga 2.84-3.13, 4 Ir 3.03
Ga 0.0645 0.5645 0.5000  4 Ir 2.47-2.57
Ga 0.2777 0.2777 0.0000  1 Ir 2.44
Ga 0.4355 0.9355 0.5000  4 Ir 2.47-2.57
Ga 0.5645 0.0645 0.5000  4 Ir 2.47-2.57
Ga 0.7223 0.7223 0.0000  1 Ir 2.44
Ga 0.9355 0.4355 0.5000  4 Ir 2.47-2.57
Ir 0.3776 0.3776 0.0000  5 Ga 2.44-2.47
Ir 0.5000 0.5000 0.0000  8 Ga 2.57
Ir 0.6224 0.6224 0.0000  5 Ga 2.44-2.47

Output
N(E_F): 4.7 states/eV per cell
space-group type: No. 139
formation enthalpy at 0 K: -0.2534 eV per atom

=====

# 2
Material: KZr3I
Method: DFT, PBE-GGA
State: relaxed

Unit cell a=5.4258 b=5.4258 c=5.4258 alpha=90.00 beta=90.00 gamma=90.00
Last column: nearest neighbours and their distance in Å.
Sites, in units of the cell vectors:
K 0.0000 0.0000 0.0000  12 Zr 3.84
Zr 0.0000 0.5000 0.5000  2 I 2.71
Zr 0.5000 0.0000 0.5000  2 I 2.71
Zr 0.5000 0.5000 0.0000  2 I 2.71
I 0.5000 0.5000 0.5000  6 Zr 2.71

Output
N(E_F): 4.0 states/eV per cell
energy relative to the elements, uncorrected: 95 kJ/mol of atoms
energy relative to the lowest polymorph listed for this composition: 0 meV/atom
space-group type: No. 221

=====

# 3
Material: TiBeC
Method: DFT, PBE-GGA
State: relaxed

Unit cell a=4.2426 b=4.2426 c=4.4037 alpha=90.00 beta=90.00 gamma=137.77
Last column: nearest neighbours and their distance in Å.
Sites, in units of the cell vectors:
Ti 0.2017 0.7983 0.7500  5 C 2.18-2.40
Ti 0.7983 0.2017 0.2500  5 C 2.18-2.40
Be 0.5000 0.5000 0.0000  4 C 2.05, 2 Be 2.20
Be 0.5000 0.5000 0.5000  4 C 2.05, 2 Be 2.20
C 0.1010 0.8990 0.2500  4 Be 2.05, 2 Ti 2.18
C 0.8990 0.1010 0.7500  4 Be 2.05, 2 Ti 2.18

Output
N(E_F): 2.7 states/eV per cell
space-group type: No. 63
formation enthalpy at 0 K: -0.3283 eV per atom